(1)
## Ni2PSe (SCAN)

Data for a crystal of Ni2PSe relaxed with PBEsol.

Calculated values
As for the crystal system: orthorhombic. The formation energy (no corrections) is -212.0 meV/atom. The total energy comes out at -127.34 eV for the cell shown. The value obtained for the calculated density is 6.37 g/cm3. The density of states at the Fermi level comes out at 0.357 states/eV per atom.

Cell lengths 4.3759, 3.8771, 6.9868 Å; angles 90.00, 90.00, 90.00 degrees
With the nearest neighbours (Å) after each atom.
Space group Amm2 (No. 38)
Inequivalent atoms, fractional coordinates:
1 Ni 0.0000 0.0000 0.0000 x2  3 P 2.24-2.31, 2 Se 2.36
2 Ni 0.5000 0.0000 0.1976 x2  3 Se 2.27-2.29, 2 P 2.35
3 P 0.0000 0.0000 0.3202 x2  5 Ni 2.24-2.35
4 Se 0.5000 0.0000 0.8722 x2  5 Ni 2.27-2.36



(2)
## NiPSe (SCAN)

Data for a crystal of NiPSe relaxed with PBEsol.

Calculated values
As for the crystal system: cubic. The formation energy (no corrections) is 645.9 meV/atom. The total energy comes out at -178.85 eV for the cell shown. The value obtained for the calculated density is 5.74 g/cm3. The density of states at the Fermi level comes out at 0.880 states/eV per atom.

Cell lengths 5.8009, 5.8009, 5.8009 Å; angles 90.00, 90.00, 90.00 degrees
With the nearest neighbours (Å) after each atom.
Space group F-43m (No. 216)
Inequivalent atoms, fractional coordinates:
1 Ni 0.0000 0.0000 0.0000 x4  4 P 2.51
2 P 0.2500 0.2500 0.7500 x4  4 Se 2.51, 4 Ni 2.51
3 Se 0.0000 0.0000 0.5000 x4  4 P 2.51